Ta2TiHgS | PBE | relaxed

Summary:
* uncorrected formation energy: 1.99 eV per atom
* DFT total energy: -5.22 eV per atom
* DOS(E_F): 6.71 states/eV/f.u.
* magnetic moment: 0.00 μB per formula unit

Cell lengths 5.0654, 4.9331, 5.0654 Å; angles 90.00, 90.00, 90.00 degrees
With the nearest neighbours (Å) after each atom.
Positions (direct):
Ta 0.0000 0.0000 0.5000  2 Hg 2.53
Ta 0.5000 0.0000 0.0000  2 Hg 2.53
Ti 0.0000 0.5000 0.0000  2 Hg 2.47
S 0.5000 0.5000 0.5000  8 Ta 3.54, 4 Ti 3.58
Hg 0.0000 0.0000 0.0000  2 Ti 2.47, 4 Ta 2.53

=====

CePu3Ni8 | PBE | relaxed

Summary:
* DFT total energy: -8.25 eV per atom
* DOS(E_F): 31.47 states/eV/f.u.
* DFT formation energy: -0.32 eV per atom
* magnetic moment: 16.29 μB per formula unit

Cell lengths 5.0447, 5.0447, 8.7548 Å; angles 73.26, 73.26, 60.00 degrees
With the nearest neighbours (Å) after each atom.
Positions (direct):
Ni 0.9379 0.4377 0.1867  6 Ni 2.52-2.54
Ni 0.9375 0.9375 0.6880  6 Ni 2.52
Ni 0.1872 0.1872 0.4383  6 Ni 2.52-2.54
Ni 0.4377 0.9379 0.1867  6 Ni 2.52-2.54
Ni 0.4370 0.9375 0.6880  6 Ni 2.52
Ni 0.9375 0.4370 0.6880  6 Ni 2.52
Ni 0.4377 0.4377 0.1867  6 Ni 2.52-2.54
Ni 0.6875 0.6875 0.9376  6 Ni 2.52
Pu 0.0014 0.0014 0.9959  12 Ni 2.93-2.97, 3 Pu 3.08, 1 Ce 3.12
Pu 0.4986 0.4986 0.5043  12 Ni 2.94-3.00, 1 Pu 3.07, 3 Ce 3.11
Pu 0.3746 0.3746 0.8763  12 Ni 2.95-2.96, 4 Pu 3.07-3.08
Ce 0.8756 0.8756 0.3733  12 Ni 2.96-2.98, 4 Pu 3.11-3.12

=====

Ca2ScTcF | PBE | relaxed

Summary:
* uncorrected formation energy: -0.63 eV per atom
* DFT total energy: -5.15 eV per atom
* DOS(E_F): 3.99 states/eV/f.u.
* magnetic moment: 0.00 μB per formula unit

Cell lengths 4.5477, 4.8570, 4.5477 Å; angles 90.00, 90.00, 90.00 degrees
With the nearest neighbours (Å) after each atom.
Positions (direct):
Tc 0.5000 0.5000 0.5000  4 Sc 3.22, 8 Ca 3.33
Ca 0.0000 0.0000 0.5000  2 F 2.27
Ca 0.5000 0.0000 0.0000  2 F 2.27
F 0.0000 0.0000 0.0000  4 Ca 2.27, 2 Sc 2.43
Sc 0.0000 0.5000 0.0000  2 F 2.43

=====

Ca2AuI | PBE | relaxed

Summary:
* uncorrected formation energy: -0.74 eV per atom
* DFT total energy: -2.95 eV per atom
* energy above the lowest structure with this stoichiometry: 225 meV/atom
* DOS(E_F): 0.36 states/eV/f.u.
* magnetic moment: 0.00 μB per formula unit

Cell lengths 8.2094, 8.2094, 7.0705 Å; angles 54.51, 54.51, 90.00 degrees
With the nearest neighbours (Å) after each atom.
Positions (direct):
Ca 0.0942 0.6250 0.2500  2 Au 2.91, 2 I 3.25
Ca 0.8750 0.9058 0.7500  2 Au 2.91, 2 I 3.25
Ca 0.6558 0.1250 0.2500  2 Au 2.91, 2 I 3.25
Ca 0.3750 0.3442 0.7500  2 Au 2.91, 2 I 3.25
I 0.2500 0.7500 0.5000  4 Ca 3.25
I 0.5000 0.5000 0.0000  4 Ca 3.25
Au 0.7500 0.2500 0.5000  4 Ca 2.91
Au 0.0000 0.0000 0.0000  4 Ca 2.91

=====

Nd2HoZr | PBE | relaxed

Summary:
* DFT total energy: -5.45 eV per atom
* energy above the lowest structure with this stoichiometry: 92 meV/atom
* DOS(E_F): 7.00 states/eV/f.u.
* DFT formation energy: 0.22 eV per atom
* magnetic moment: 1.06 μB per formula unit

Cell lengths 5.5510, 5.5510, 5.5510 Å; angles 60.00, 60.00, 60.00 degrees
With the nearest neighbours (Å) after each atom.
Positions (direct):
Ho 0.5000 0.5000 0.5000  8 Nd 3.40
Zr 0.0000 0.0000 0.0000  8 Nd 3.40
Nd 0.7500 0.7500 0.7500  4 Zr 3.40, 4 Ho 3.40
Nd 0.2500 0.2500 0.2500  4 Zr 3.40, 4 Ho 3.40

=====

RbAcAgAs | PBE | relaxed

Summary:
* DFT total energy: -3.53 eV per atom
* DFT formation energy: -0.39 eV per atom
* magnetic moment: 0.00 μB per formula unit

Cell lengths 5.5872, 5.5872, 5.5872 Å; angles 60.00, 60.00, 60.00 degrees
With the nearest neighbours (Å) after each atom.
Positions (direct):
Ac 0.0000 0.0000 0.0000  4 As 3.42, 4 Ag 3.42
Ag 0.2500 0.2500 0.2500  4 Ac 3.42, 4 Rb 3.42
As 0.7500 0.7500 0.7500  4 Rb 3.42, 4 Ac 3.42
Rb 0.5000 0.5000 0.5000  4 Ag 3.42, 4 As 3.42

=====

Ca2GdDy | PBE | relaxed

Summary:
* DFT total energy: -5.50 eV per atom
* energy above the lowest structure with this stoichiometry: 15 meV/atom
* DOS(E_F): 7.78 states/eV/f.u.
* DFT formation energy: 0.17 eV per atom
* magnetic moment: 7.63 μB per formula unit

Cell lengths 5.8656, 5.8656, 5.8656 Å; angles 60.00, 60.00, 60.00 degrees
With the nearest neighbours (Å) after each atom.
Positions (direct):
Dy 0.0000 0.0000 0.0000  8 Ca 3.59
Ca 0.7500 0.7500 0.7500  4 Gd 3.59, 4 Dy 3.59
Ca 0.2500 0.2500 0.2500  4 Gd 3.59, 4 Dy 3.59
Gd 0.5000 0.5000 0.5000  8 Ca 3.59

=====

SrY2ZrH | PBE | relaxed

Summary:
* DFT total energy: -4.36 eV per atom
* DOS(E_F): 6.03 states/eV/f.u.
* magnetic moment: 1.14 μB per formula unit

Cell lengths 6.1368, 6.1368, 3.7942 Å; angles 90.00, 90.00, 90.00 degrees
With the nearest neighbours (Å) after each atom.
Positions (direct):
Sr 0.0000 0.0000 0.0000  2 H 1.90
Zr 0.5000 0.5000 0.5000  8 Y 3.61, 2 Zr 3.79
H 0.0000 0.0000 0.5000  2 Sr 1.90
Y 0.0000 0.5000 0.0000  2 Sr 3.07
Y 0.5000 0.0000 0.0000  2 Sr 3.07

=====

BeSiPt | PBE | relaxed

Summary:
* uncorrected formation energy: -0.54 eV per atom
* DFT total energy: -5.60 eV per atom
* energy above the lowest structure with this stoichiometry: 0 meV/atom
* DOS(E_F): 0.50 states/eV/f.u.
* magnetic moment: 0.00 μB per formula unit

Cell lengths 3.8977, 5.0331, 8.2199 Å; angles 90.00, 90.00, 90.00 degrees
With the nearest neighbours (Å) after each atom.
Positions (direct):
Be 0.2500 0.0570 0.3167  4 Pt 2.30-2.41, 3 Si 2.42-2.49
Be 0.2500 0.4430 0.8167  4 Pt 2.30-2.41, 3 Si 2.42-2.49
Be 0.7500 0.5570 0.1833  4 Pt 2.30-2.41, 3 Si 2.42-2.49
Be 0.7500 0.9430 0.6833  4 Pt 2.30-2.41, 3 Si 2.42-2.49
Si 0.7500 0.4704 0.6299  4 Be 2.42-2.69, 4 Pt 2.47-2.55
Si 0.7500 0.0296 0.1299  4 Be 2.42-2.69, 4 Pt 2.47-2.55
Si 0.2500 0.9704 0.8701  4 Be 2.42-2.69, 4 Pt 2.47-2.55
Si 0.2500 0.5296 0.3701  4 Be 2.42-2.69, 4 Pt 2.47-2.55
Pt 0.2500 0.1776 0.5869  4 Be 2.30-2.41, 4 Si 2.47-2.55
Pt 0.2500 0.3224 0.0869  4 Be 2.30-2.41, 4 Si 2.47-2.55
Pt 0.7500 0.8224 0.4131  4 Be 2.30-2.41, 4 Si 2.47-2.55
Pt 0.7500 0.6776 0.9131  4 Be 2.30-2.41, 4 Si 2.47-2.55

=====

Ta4Co5 | PBE | relaxed

Summary:
* DFT total energy: -9.29 eV per atom
* energy above the lowest structure with this stoichiometry: 92 meV/atom
* DOS(E_F): 9.02 states/eV/f.u.
* DFT formation energy: -0.08 eV per atom
* magnetic moment: 0.00 μB per formula unit

Cell lengths 7.4634, 7.4634, 5.1964 Å; angles 90.00, 90.00, 60.00 degrees
With the nearest neighbours (Å) after each atom.
Positions (direct):
Co 0.3333 0.3333 0.0000  8 Co 2.60-2.88, 6 Ta 2.71
Co 0.3129 0.0000 0.7500  7 Ta 2.41-2.67
Co 0.6667 0.6667 0.5000  8 Co 2.60-2.88, 6 Ta 2.71
Co 0.6871 0.0000 0.2500  7 Ta 2.41-2.67
Co 0.6667 0.6667 0.0000  8 Co 2.60-2.88, 6 Ta 2.71
Co 0.3333 0.3333 0.5000  8 Co 2.60-2.88, 6 Ta 2.71
Co 0.3129 0.6871 0.2500  7 Ta 2.41-2.67
Co 0.0000 0.6871 0.7500  7 Ta 2.41-2.67
Co 0.0000 0.3129 0.2500  7 Ta 2.41-2.67
Co 0.6871 0.3129 0.7500  7 Ta 2.41-2.67
Ta 0.6360 0.3640 0.2500  5 Co 2.41-2.63
Ta 0.3640 0.6360 0.7500  5 Co 2.41-2.63
Ta 0.0000 0.0000 0.0000  2 Ta 2.60, 6 Co 2.67
Ta 0.0000 0.0000 0.5000  2 Ta 2.60, 6 Co 2.67
Ta 0.3640 0.0000 0.2500  5 Co 2.41-2.63
Ta 0.6360 0.0000 0.7500  5 Co 2.41-2.63
Ta 0.0000 0.6360 0.2500  5 Co 2.41-2.63
Ta 0.0000 0.3640 0.7500  5 Co 2.41-2.63

=====

LiCd2Bi | PBE | relaxed

Summary:
* DFT total energy: -2.04 eV per atom
* DOS(E_F): 0.77 states/eV/f.u.
* DFT formation energy: -0.13 eV per atom
* magnetic moment: 0.00 μB per formula unit

Cell lengths 5.0490, 5.0490, 5.2479 Å; angles 61.25, 61.25, 60.00 degrees
With the nearest neighbours (Å) after each atom.
Positions (direct):
Cd 0.0025 0.0025 0.9926  4 Li 3.08-3.37, 4 Cd 3.10-3.31
Cd 0.2552 0.2552 0.2343  4 Cd 3.10-3.31, 4 Bi 3.15-3.16
Li 0.7454 0.7454 0.7638  4 Cd 3.08-3.37, 4 Bi 3.12-3.25
Bi 0.4969 0.4969 0.5092  4 Li 3.12-3.25, 4 Cd 3.15-3.16

=====

AcLaPrSm | PBE | relaxed

Summary:
* DFT total energy: -4.60 eV per atom
* energy above the lowest structure with this stoichiometry: 0 meV/atom
* DOS(E_F): 8.14 states/eV/f.u.
* DFT formation energy: 0.04 eV per atom
* magnetic moment: 0.00 μB per formula unit

Cell lengths 5.3178, 5.3308, 6.5558 Å; angles 113.99, 113.93, 90.00 degrees
With the nearest neighbours (Å) after each atom.
Positions (direct):
Pr 0.1959 0.6959 0.3918  4 La 3.76, 4 Sm 3.77-3.79, 4 Ac 3.78
Sm 0.9455 0.9455 0.8910  4 Ac 3.76, 4 Pr 3.77-3.79, 4 La 3.78
La 0.6952 0.1952 0.3904  4 Pr 3.76, 4 Sm 3.78, 4 Ac 3.78
Ac 0.4456 0.4456 0.8912  4 Sm 3.76, 4 La 3.78, 4 Pr 3.78

=====

Ce2NdYP4 | PBE | relaxed

Summary:
* DFT total energy: -7.14 eV per atom
* DOS(E_F): 9.37 states/eV/f.u.
* DFT formation energy: -1.54 eV per atom
* magnetic moment: 1.00 μB per formula unit

Cell lengths 4.0907, 7.0751, 7.0863 Å; angles 70.51, 90.00, 90.00 degrees
With the nearest neighbours (Å) after each atom.
Positions (direct):
Ce 0.5000 0.0000 0.5000  6 P 2.86
Ce 0.0000 0.0000 0.0000  6 P 2.90
P 0.0000 0.2454 0.2561  3 Ce 2.86-2.90, 1 Y 2.88, 2 Nd 2.92
P 0.5000 0.7511 0.2541  3 Ce 2.86-2.90, 2 Y 2.88, 1 Nd 2.92
P 0.0000 0.7546 0.7439  3 Ce 2.86-2.90, 1 Y 2.88, 2 Nd 2.92
P 0.5000 0.2489 0.7459  3 Ce 2.86-2.90, 2 Y 2.88, 1 Nd 2.92
Y 0.0000 0.5000 0.5000  6 P 2.88
Nd 0.5000 0.5000 0.0000  6 P 2.92

=====

Y2VMo2 | PBE | relaxed

Summary:
* DFT total energy: -8.42 eV per atom
* energy above the lowest structure with this stoichiometry: 0 meV/atom
* DOS(E_F): 5.85 states/eV/f.u.
* DFT formation energy: 0.32 eV per atom
* magnetic moment: 0.00 μB per formula unit

Cell lengths 6.4702, 6.4702, 5.0788 Å; angles 90.00, 90.00, 90.00 degrees
With the nearest neighbours (Å) after each atom.
Positions (direct):
Mo 0.3615 0.8615 0.0000  2 V 2.50, 1 Mo 2.53
Mo 0.6385 0.1385 0.0000  2 V 2.50, 1 Mo 2.53
Mo 0.8615 0.6385 0.0000  2 V 2.50, 1 Mo 2.53
Mo 0.1385 0.3615 0.0000  2 V 2.50, 1 Mo 2.53
Y 0.3262 0.1738 0.5000  6 Mo 3.07-3.25, 5 Y 3.18-3.38
Y 0.6738 0.8262 0.5000  6 Mo 3.07-3.25, 5 Y 3.18-3.38
Y 0.8262 0.3262 0.5000  6 Mo 3.07-3.25, 5 Y 3.18-3.38
Y 0.1738 0.6738 0.5000  6 Mo 3.07-3.25, 5 Y 3.18-3.38
V 0.0000 0.0000 0.0000  4 Mo 2.50
V 0.5000 0.5000 0.0000  4 Mo 2.50

=====

Y3Mn | PBE | relaxed

Summary:
* DFT total energy: -6.77 eV per atom
* DOS(E_F): 8.07 states/eV/f.u.
* DFT formation energy: 0.37 eV per atom
* magnetic moment: 3.17 μB per formula unit

Cell lengths 3.4095, 6.2698, 6.2698 Å; angles 63.21, 100.44, 79.56 degrees
With the nearest neighbours (Å) after each atom.
Positions (direct):
Y 0.0000 0.5000 0.5000  6 Y 3.29-3.41, 2 Mn 3.29
Y 0.5000 0.5000 0.0000  6 Y 3.29-3.41, 2 Mn 3.29
Y 0.5000 0.0000 0.5000  2 Mn 3.29, 6 Y 3.29-3.41
Mn 0.0000 0.0000 0.0000  6 Y 3.29, 2 Mn 3.41

=====

CeHoThPb | PBE | relaxed

Summary:
* DFT total energy: -5.43 eV per atom
* DOS(E_F): 9.14 states/eV/f.u.
* DFT formation energy: -0.02 eV per atom
* magnetic moment: 1.34 μB per formula unit

Cell lengths 5.4978, 5.4978, 5.4978 Å; angles 60.00, 60.00, 60.00 degrees
With the nearest neighbours (Å) after each atom.
Positions (direct):
Pb 0.2500 0.2500 0.2500  4 Ho 3.37, 4 Ce 3.37
Ho 0.5000 0.5000 0.5000  4 Pb 3.37, 4 Th 3.37
Ce 0.0000 0.0000 0.0000  4 Th 3.37, 4 Pb 3.37
Th 0.7500 0.7500 0.7500  4 Ho 3.37, 4 Ce 3.37

=====

PmLuSiPt | PBE | relaxed

Summary:
* uncorrected formation energy: -0.80 eV per atom
* DFT total energy: -5.99 eV per atom
* DOS(E_F): 1.08 states/eV/f.u.
* magnetic moment: 0.00 μB per formula unit

Cell lengths 4.9986, 4.9986, 4.9986 Å; angles 60.00, 60.00, 60.00 degrees
With the nearest neighbours (Å) after each atom.
Positions (direct):
Lu 0.5000 0.5000 0.5000  4 Pt 3.06, 4 Si 3.06
Pm 0.0000 0.0000 0.0000  4 Pt 3.06, 4 Si 3.06
Pt 0.2500 0.2500 0.2500  4 Pm 3.06, 4 Lu 3.06
Si 0.7500 0.7500 0.7500  4 Lu 3.06, 4 Pm 3.06

=====

Pr3Lu | PBE | relaxed

Summary:
* DFT total energy: -4.59 eV per atom
* energy above the lowest structure with this stoichiometry: 113 meV/atom
* DOS(E_F): 9.06 states/eV/f.u.
* DFT formation energy: 0.13 eV per atom
* magnetic moment: 0.00 μB per formula unit

Cell lengths 5.8059, 5.8059, 5.8059 Å; angles 60.00, 60.00, 60.00 degrees
With the nearest neighbours (Å) after each atom.
Positions (direct):
Pr 0.2500 0.2500 0.2500  4 Pr 3.56, 4 Lu 3.56
Pr 0.7500 0.7500 0.7500  4 Pr 3.56, 4 Lu 3.56
Pr 0.0000 0.0000 0.0000  8 Pr 3.56
Lu 0.5000 0.5000 0.5000  8 Pr 3.56

=====

MnTcRh2 | PBE | relaxed

Summary:
* DFT total energy: -8.64 eV per atom
* energy above the lowest structure with this stoichiometry: 22 meV/atom
* DOS(E_F): 3.72 states/eV/f.u.
* DFT formation energy: -0.08 eV per atom
* magnetic moment: 2.37 μB per formula unit

Cell lengths 4.6607, 4.6607, 2.7060 Å; angles 90.00, 90.00, 109.17 degrees
With the nearest neighbours (Å) after each atom.
Positions (direct):
Rh 0.5000 0.5000 0.0000  4 Mn 2.69, 4 Tc 2.69, 4 Rh 2.70-2.71
Rh 0.0000 0.0000 0.0000  4 Tc 2.69, 4 Mn 2.69, 4 Rh 2.70-2.71
Tc 0.5000 0.0000 0.5000  8 Rh 2.69, 2 Mn 2.70, 2 Tc 2.71
Mn 0.0000 0.5000 0.5000  8 Rh 2.69, 2 Tc 2.70, 2 Mn 2.71

=====

GaHS | PBE | relaxed

Summary:
* DFT total energy: -3.71 eV per atom
* energy above the lowest structure with this stoichiometry: 122 meV/atom
* DOS(E_F): 0.00 states/eV/f.u.
* magnetic moment: 0.00 μB per formula unit

Cell lengths 5.7328, 8.6067, 8.6097 Å; angles 115.24, 102.82, 102.83 degrees
With the nearest neighbours (Å) after each atom.
Positions (direct):
H 0.5352 0.8031 0.4534  2 Ga 1.67-1.81
H 0.2682 0.3500 0.8033  2 Ga 1.67-1.81
H 0.0817 0.5464 0.3497  2 Ga 1.67-1.81
H 0.4648 0.1969 0.5466  2 Ga 1.67-1.81
H 0.7317 0.6500 0.1967  2 Ga 1.67-1.81
H 0.9182 0.4536 0.6503  2 Ga 1.67-1.81
Ga 0.3953 0.1860 0.7377  2 H 1.67-1.81
Ga 0.6575 0.2624 0.4482  2 H 1.67-1.81
Ga 0.3425 0.7376 0.5518  2 H 1.67-1.81
Ga 0.2094 0.5522 0.8143  2 H 1.67-1.81
Ga 0.6047 0.8140 0.2623  2 H 1.67-1.81
Ga 0.7906 0.4478 0.1857  2 H 1.67-1.81
S 0.1983 0.7320 0.0873  2 Ga 2.22-2.24
S 0.4665 0.3551 0.2680  2 Ga 2.22-2.24
S 0.5335 0.6449 0.7320  2 Ga 2.22-2.24
S 0.1113 0.9129 0.6447  2 Ga 2.22-2.24
S 0.8017 0.2680 0.9127  2 Ga 2.22-2.24
S 0.8887 0.0871 0.3553  2 Ga 2.22-2.24